Entry from Alexandria via LeMat-Bulk: a geometry-optimized Mo3H2Ru2 structure (PBE).

Unit cell a=2.8384 b=4.8598 c=6.3016 alpha=75.79 beta=76.98 gamma=73.02
Last column: nearest neighbours and their distance in Å.
Fractional coordinates of all 7 atoms:
1 Mo 0.5000 0.0000 0.0000  4 H 2.00
2 Mo 0.6881 0.3944 0.2295  3 H 2.00-2.08
3 Mo 0.3119 0.6056 0.7705  3 H 2.00-2.08
4 H 0.8852 0.3069 0.9227  5 Mo 2.00-2.08, 1 Ru 2.14
5 H 0.1148 0.6931 0.0773  5 Mo 2.00-2.08, 1 Ru 2.14
6 Ru 0.8977 0.8053 0.3993  1 H 2.14
7 Ru 0.1023 0.1947 0.6007  1 H 2.14

Calculated values
total DFT energy (no corrections)	-8.203	eV per atom
space-group type	C2/m (12)

---

Entry from Alexandria via LeMat-Bulk: a geometry-optimized SbMoHRu2 structure (PBE).

Unit cell a=4.0758 b=4.0758 c=4.0050 alpha=90.00 beta=90.00 gamma=90.00
Last column: nearest neighbours and their distance in Å.
Fractional coordinates of all 5 atoms:
1 Sb 0.5000 0.5000 0.5000  8 Ru 2.86, 4 Mo 2.88
2 Mo 0.0000 0.0000 0.5000  2 H 2.00
3 H 0.0000 0.0000 0.0000  2 Mo 2.00, 4 Ru 2.04
4 Ru 0.0000 0.5000 0.0000  2 H 2.04
5 Ru 0.5000 0.0000 0.0000  2 H 2.04

Calculated values
total DFT energy (no corrections)	-7.177	eV per atom
space-group type	P4/mmm (123)

---

Entry from Alexandria via LeMat-Bulk: a geometry-optimized SnMo2HRu structure (PBE).

Unit cell a=3.8954 b=3.8954 c=4.4890 alpha=90.00 beta=90.00 gamma=90.00
Last column: nearest neighbours and their distance in Å.
Fractional coordinates of all 5 atoms:
1 Ru 0.0000 0.0000 0.5000  2 H 2.24
2 Mo 0.0000 0.5000 0.0000  2 H 1.95
3 Mo 0.5000 0.0000 0.0000  2 H 1.95
4 Sn 0.5000 0.5000 0.5000  4 Ru 2.75, 8 Mo 2.97
5 H 0.0000 0.0000 0.0000  4 Mo 1.95

Calculated values
total DFT energy (no corrections)	-7.490	eV per atom
space-group type	P4/mmm (123)

---

Entry from Alexandria via LeMat-Bulk: a geometry-optimized TaMoHRu2 structure (PBE).

Unit cell a=3.9914 b=3.9914 c=3.9876 alpha=90.00 beta=90.00 gamma=90.00
Last column: nearest neighbours and their distance in Å.
Fractional coordinates of all 5 atoms:
1 Ru 0.0000 0.5000 0.0000  2 H 2.00
2 Ru 0.5000 0.0000 0.0000  2 H 2.00
3 Mo 0.0000 0.0000 0.5000  2 H 1.99
4 H 0.0000 0.0000 0.0000  2 Mo 1.99, 4 Ru 2.00
5 Ta 0.5000 0.5000 0.5000  8 Ru 2.82, 4 Mo 2.82

Calculated values
total DFT energy (no corrections)	-9.010	eV per atom
space-group type	P4/mmm (123)

---

Entry from Alexandria via LeMat-Bulk: a geometry-optimized Ta2MoHRu structure (PBE).

Unit cell a=4.4624 b=4.4624 c=3.4436 alpha=90.00 beta=90.00 gamma=90.00
Last column: nearest neighbours and their distance in Å.
Fractional coordinates of all 5 atoms:
1 Ru 0.0000 0.0000 0.5000  2 H 1.72
2 Mo 0.5000 0.5000 0.5000  8 Ta 2.82, 4 Ru 3.16
3 H 0.0000 0.0000 0.0000  2 Ru 1.72
4 Ta 0.0000 0.5000 0.0000  2 H 2.23
5 Ta 0.5000 0.0000 0.0000  2 H 2.23

Calculated values
total DFT energy (no corrections)	-9.595	eV per atom
space-group type	P4/mmm (123)

---

Entry from Alexandria via LeMat-Bulk: a geometry-optimized TaMoHRu2 structure (PBE).

Unit cell a=3.9747 b=3.9747 c=4.0243 alpha=90.00 beta=90.00 gamma=90.00
Last column: nearest neighbours and their distance in Å.
Fractional coordinates of all 5 atoms:
1 Ru 0.0000 0.5000 0.0000  2 H 1.99
2 Ru 0.5000 0.0000 0.0000  2 H 1.99
3 Mo 0.5000 0.5000 0.5000  4 Ta 2.81, 8 Ru 2.83
4 H 0.0000 0.0000 0.0000  4 Ru 1.99, 2 Ta 2.01
5 Ta 0.0000 0.0000 0.5000  2 H 2.01

Calculated values
total DFT energy (no corrections)	-8.980	eV per atom
space-group type	P4/mmm (123)

---

Entry from Alexandria via LeMat-Bulk: a geometry-optimized Ta2MoHRu structure (PBE).

Unit cell a=4.4630 b=4.4630 c=3.4454 alpha=90.00 beta=90.00 gamma=90.00
Last column: nearest neighbours and their distance in Å.
Fractional coordinates of all 5 atoms:
1 Ru 0.5000 0.5000 0.5000  8 Ta 2.82, 4 Mo 3.16
2 Mo 0.0000 0.0000 0.5000  2 H 1.72
3 H 0.0000 0.0000 0.0000  2 Mo 1.72
4 Ta 0.0000 0.5000 0.0000  2 H 2.23
5 Ta 0.5000 0.0000 0.0000  2 H 2.23

Calculated values
total DFT energy (no corrections)	-9.532	eV per atom
space-group type	P4/mmm (123)

---

Entry from Alexandria via LeMat-Bulk: a geometry-optimized TcMoHRu2 structure (PBE).

Unit cell a=3.9120 b=3.9120 c=3.9302 alpha=90.00 beta=90.00 gamma=90.00
Last column: nearest neighbours and their distance in Å.
Fractional coordinates of all 5 atoms:
1 Ru 0.0000 0.5000 0.0000  2 H 1.96
2 Ru 0.5000 0.0000 0.0000  2 H 1.96
3 Mo 0.5000 0.5000 0.5000  4 Tc 2.77, 8 Ru 2.77
4 Tc 0.0000 0.0000 0.5000  2 H 1.97
5 H 0.0000 0.0000 0.0000  4 Ru 1.96, 2 Tc 1.97

Calculated values
total DFT energy (no corrections)	-8.614	eV per atom
space-group type	P4/mmm (123)

---

Entry from Alexandria via LeMat-Bulk: a geometry-optimized TcMoHRu2 structure (PBE).

Unit cell a=3.8962 b=3.8962 c=3.9681 alpha=90.00 beta=90.00 gamma=90.00
Last column: nearest neighbours and their distance in Å.
Fractional coordinates of all 5 atoms:
1 Ru 0.0000 0.5000 0.0000  2 H 1.95
2 Ru 0.5000 0.0000 0.0000  2 H 1.95
3 Mo 0.0000 0.0000 0.5000  2 H 1.98
4 Tc 0.5000 0.5000 0.5000  4 Mo 2.76, 8 Ru 2.78
5 H 0.0000 0.0000 0.0000  4 Ru 1.95, 2 Mo 1.98

Calculated values
total DFT energy (no corrections)	-8.590	eV per atom
space-group type	P4/mmm (123)

---

Entry from Alexandria via LeMat-Bulk: a geometry-optimized TcMoHRu2 structure (PBE).

Unit cell a=4.6882 b=4.7432 c=4.6882 alpha=90.00 beta=90.00 gamma=90.00
Last column: nearest neighbours and their distance in Å.
Fractional coordinates of all 5 atoms:
1 Ru 0.0000 0.0000 0.5000  2 Mo 2.34
2 Ru 0.5000 0.0000 0.0000  2 Mo 2.34
3 Mo 0.0000 0.0000 0.0000  4 Ru 2.34, 2 Tc 2.37
4 Tc 0.0000 0.5000 0.0000  2 Mo 2.37
5 H 0.5000 0.5000 0.5000  4 Tc 3.32, 8 Ru 3.33

Calculated values
total DFT energy (no corrections)	-6.331	eV per atom
space-group type	P4/mmm (123)

---

Entry from Alexandria via LeMat-Bulk: a geometry-optimized Ti2MoHRu structure (PBE).

Unit cell a=4.3606 b=4.3606 c=3.3746 alpha=90.00 beta=90.00 gamma=90.00
Last column: nearest neighbours and their distance in Å.
Fractional coordinates of all 5 atoms:
1 Ru 0.5000 0.5000 0.5000  8 Ti 2.76, 4 Mo 3.08
2 Mo 0.0000 0.0000 0.5000  2 H 1.69
3 H 0.0000 0.0000 0.0000  2 Mo 1.69
4 Ti 0.0000 0.5000 0.0000  2 H 2.18
5 Ti 0.5000 0.0000 0.0000  2 H 2.18

Calculated values
total DFT energy (no corrections)	-8.151	eV per atom
space-group type	P4/mmm (123)

---

Entry from Alexandria via LeMat-Bulk: a geometry-optimized ZnMoHRu2 structure (PBE).

Unit cell a=3.9691 b=3.9691 c=3.8289 alpha=90.00 beta=90.00 gamma=90.00
Last column: nearest neighbours and their distance in Å.
Fractional coordinates of all 5 atoms:
1 Ru 0.0000 0.5000 0.0000  2 H 1.98
2 Ru 0.5000 0.0000 0.0000  2 H 1.98
3 Mo 0.0000 0.0000 0.5000  2 H 1.91
4 Zn 0.5000 0.5000 0.5000  8 Ru 2.76, 4 Mo 2.81
5 H 0.0000 0.0000 0.0000  2 Mo 1.91, 4 Ru 1.98

Calculated values
total DFT energy (no corrections)	-6.637	eV per atom
space-group type	P4/mmm (123)

---

Entry from Alexandria via LeMat-Bulk: a geometry-optimized ZnMo2HRu structure (PBE).

Unit cell a=3.9350 b=3.9350 c=4.0021 alpha=90.00 beta=90.00 gamma=90.00
Last column: nearest neighbours and their distance in Å.
Fractional coordinates of all 5 atoms:
1 Ru 0.0000 0.0000 0.5000  2 H 2.00
2 Mo 0.0000 0.5000 0.0000  2 H 1.97
3 Mo 0.5000 0.0000 0.0000  2 H 1.97
4 Zn 0.5000 0.5000 0.5000  4 Ru 2.78, 8 Mo 2.81
5 H 0.0000 0.0000 0.0000  4 Mo 1.97, 2 Ru 2.00

Calculated values
total DFT energy (no corrections)	-6.963	eV per atom
space-group type	P4/mmm (123)

---

Entry from Alexandria via LeMat-Bulk: a geometry-optimized ZrMoHRu2 structure (PBE).

Unit cell a=4.0916 b=4.0916 c=3.9899 alpha=90.00 beta=90.00 gamma=90.00
Last column: nearest neighbours and their distance in Å.
Fractional coordinates of all 5 atoms:
1 Ru 0.0000 0.5000 0.0000  2 H 2.05
2 Ru 0.5000 0.0000 0.0000  2 H 2.05
3 Mo 0.0000 0.0000 0.5000  2 H 1.99
4 Zr 0.5000 0.5000 0.5000  8 Ru 2.86, 4 Mo 2.89
5 H 0.0000 0.0000 0.0000  2 Mo 1.99, 4 Ru 2.05

Calculated values
total DFT energy (no corrections)	-8.314	eV per atom
space-group type	P4/mmm (123)